This record from the Alexandria database describes an optimized crystal structure of AlPdRh2. The functional is PBE-GGA.

As for the crystal system: tetragonal.

It has space group I-42d (No. 122), with a = 3.6954 Å, b = 3.6954 Å, c = 18.4052 Å, α = 90.00°, β = 90.00° and γ = 90.00°. Symmetry generates all atoms from Al at (0.0000, 0.0000, 0.0000), Pd at (0.0000, 0.0000, 0.5000) and Rh at (0.2474, 0.2500, 0.1250).

---

This record from the Alexandria database describes an optimized crystal structure of Al4Pd2Rh. The functional is PBE-GGA.

As for the crystal system: orthorhombic.

It has space group Cmmm (No. 65), with a = 6.0668 Å, b = 8.4480 Å, c = 4.2364 Å, α = 90.00°, β = 90.00° and γ = 90.00°. Symmetry generates all atoms from Al at (0.2319, 0.0000, 0.0000), Al at (0.2500, 0.2500, 0.5000), Pd at (0.0000, 0.2580, 0.0000) and Rh at (0.0000, 0.5000, 0.5000).

---

no.,total magnetization (μB/atom),energy relative to the elements (eV per atom)
1,0.00,-0.040
2,0.00,-0.818